1.
This record from Alexandria via LeMat-Bulk describes crystalline Tb2InGe3Pd4 at its relaxed geometry. The functional is PBE.

Cell: 4.2686 4.2686 10.6950 Å, 90.00 90.00 90.00°
With the nearest neighbours (Å) after each atom.
Fractional positions:
Tb  0.5000  0.0000  0.2383  8 Pd 3.25-3.32, 6 Ge 3.25-3.52, 2 In 3.52
Tb  0.0000  0.5000  0.7617  8 Pd 3.25-3.32, 6 Ge 3.25-3.52, 2 In 3.52
In  0.5000  0.5000  0.5000  4 Pd 2.66
Ge  0.0000  0.0000  0.5000  4 Pd 2.66
Ge  0.5000  0.0000  0.8746  5 Pd 2.41-2.52
Ge  0.0000  0.5000  0.1254  5 Pd 2.41-2.52
Pd  0.5000  0.5000  0.0000  4 Ge 2.52
Pd  0.0000  0.0000  0.0000  4 Ge 2.52
Pd  0.5000  0.0000  0.6491  3 Ge 2.41-2.66, 2 In 2.66
Pd  0.0000  0.5000  0.3509  3 Ge 2.41-2.66, 2 In 2.66

Output
Energy   -5.408 eV/atom
Formation energy from the elements   -0.746 eV/atom
SG   No. 115
Fermi-level density of states   0.595 states/eV per atom
Volume   19.49 Å³/atom

***

2.
This record from Alexandria via LeMat-Bulk describes crystalline Mg2CuW at its relaxed geometry. The functional is PBE.

Cell: 2.8702 2.8702 8.1491 Å, 90.00 90.00 90.00°
With the nearest neighbours (Å) after each atom.
Fractional positions:
Cu  0.5000  0.5000  0.7417  4 W 2.67, 4 Mg 2.71, 4 Cu 2.87
Mg  0.0000  0.0000  0.9620  4 Cu 2.71, 4 Mg 2.87
Mg  0.5000  0.5000  0.2674  8 Mg 2.87-3.21, 4 W 2.94
W  0.0000  0.0000  0.5289  4 Cu 2.67, 4 W 2.87, 4 Mg 2.94

Output
Energy   -4.819 eV/atom
Formation energy from the elements   0.241 eV/atom
SG   No. 99
Fermi-level density of states   0.391 states/eV per atom
Volume   16.78 Å³/atom

***

3.
This record from Alexandria via LeMat-Bulk describes crystalline Ta2OsBr at its relaxed geometry. The functional is PBE.

Cell: 9.2574 9.2574 9.2574 Å, 19.61 19.61 19.61°
With the nearest neighbours (Å) after each atom.
Fractional positions:
Os  0.7356  0.7356  0.7356  3 Ta 2.54
Br  0.5113  0.5113  0.5113  3 Ta 2.66
Ta  0.0039  0.0039  0.0039  3 Os 2.54
Ta  0.2492  0.2492  0.2492  3 Br 2.66

Output
Energy   -8.934 eV/atom
SG   No. 160
Fermi-level density of states   0.269 states/eV per atom
ΔE_f (raw)   218 meV/atom
Volume   19.53 Å³/atom

***

4.
This record from Alexandria via LeMat-Bulk describes crystalline Nd6Hg3Rh at its relaxed geometry. The functional is PBE.

Cell: 8.5586 8.5586 8.5586 Å, 93.08 93.08 93.08°
With the nearest neighbours (Å) after each atom.
Fractional positions:
Nd  0.3155  0.0789  0.9620  1 Rh 2.79
Nd  0.9211  0.0380  0.6845  1 Rh 2.79
Nd  0.5787  0.8154  0.4614  1 Rh 2.79
Nd  0.0380  0.6845  0.9211  1 Rh 2.79
Nd  0.4614  0.5787  0.8154  1 Rh 2.79
Nd  0.1846  0.5386  0.4213  1 Rh 2.79
Nd  0.8154  0.4614  0.5787  1 Rh 2.79
Nd  0.5386  0.4213  0.1846  1 Rh 2.79
Nd  0.9620  0.3155  0.0789  1 Rh 2.79
Nd  0.4213  0.1846  0.5386  1 Rh 2.79
Nd  0.0789  0.9620  0.3155  1 Rh 2.79
Nd  0.6845  0.9211  0.0380  1 Rh 2.79
Hg  0.2504  0.8518  0.6487  8 Nd 3.23-3.36
Hg  0.8518  0.6487  0.2504  8 Nd 3.23-3.36
Hg  0.3513  0.7496  0.1482  8 Nd 3.23-3.36
Hg  0.6487  0.2504  0.8518  8 Nd 3.23-3.36
Hg  0.1482  0.3513  0.7496  8 Nd 3.23-3.36
Hg  0.7496  0.1482  0.3513  8 Nd 3.23-3.36
Rh  0.0000  0.0000  0.0000  6 Nd 2.79
Rh  0.5000  0.5000  0.5000  6 Nd 2.79

Output
Energy   -4.010 eV/atom
Formation energy from the elements   -0.324 eV/atom
SG   No. 167
Fermi-level density of states   1.113 states/eV per atom
Volume   31.21 Å³/atom

***

5.
This record from Alexandria via LeMat-Bulk describes crystalline CaCrCd2 at its relaxed geometry. The functional is PBE.

Cell: 3.6740 3.6740 7.0657 Å, 90.00 90.00 90.00°
With the nearest neighbours (Å) after each atom.
Fractional positions:
Cr  0.0000  0.0000  0.4552  5 Cd 2.90-3.02
Ca  0.5000  0.5000  0.7450  5 Cd 3.28-3.34, 4 Cr 3.31
Cd  0.0000  0.0000  0.0280  1 Cr 3.02, 4 Cd 3.12, 4 Ca 3.28
Cd  0.5000  0.5000  0.2719  4 Cr 2.90, 4 Cd 3.12

Output
Energy   -3.181 eV/atom
Formation energy from the elements   0.183 eV/atom
SG   No. 99
Fermi-level density of states   0.362 states/eV per atom
Volume   23.84 Å³/atom

***

6.
This record from Alexandria via LeMat-Bulk describes crystalline RbOsCl2 at its relaxed geometry. The functional is PBE.

Cell: 9.5454 9.5454 9.5454 Å, 20.39 20.39 20.39°
With the nearest neighbours (Å) after each atom.
Fractional positions:
Os  0.0000  0.0000  0.0000  2 Cl 2.30
Rb  0.5000  0.5000  0.5000  6 Cl 3.07, 6 Rb 3.38
Cl  0.9180  0.9180  0.9180  1 Os 2.30
Cl  0.0820  0.0820  0.0820  1 Os 2.30

Output
Energy   -3.849 eV/atom
SG   No. 166
Fermi-level density of states   0.688 states/eV per atom
ΔE_f (raw)   124 meV/atom
Volume   23.09 Å³/atom

***

Question: What is the energy in the first record?
Answer: -5.408 eV/atom